(1)
# Er5RhPb2

A relaxed structure of Er5RhPb2 (PBE, Alexandria via LeMat-Bulk).

Structure (POSCAR):
```
Er5RhPb2
1.0
2.777 -7.900 0.000
2.777 7.900 0.000
0.000 0.000 13.621
Er Rh Pb
10 2 4
Direct
0.055 0.945 0.617
0.055 0.945 0.883
0.282 0.718 0.594
0.282 0.718 0.906
0.291 0.709 0.250
0.709 0.291 0.750
0.718 0.282 0.094
0.718 0.282 0.406
0.945 0.055 0.117
0.945 0.055 0.383
0.176 0.824 0.750
0.824 0.176 0.250
0.139 0.861 0.086
0.139 0.861 0.414
0.861 0.139 0.586
0.861 0.139 0.914
```

Summary:
**Space-group type**: Cmcm
**Relative energy among the computed polymorphs**: 451 meV/atom
**Fermi-level density of states**: 15.57 states/eV/cell



(2)
# ErRh4Pb

A relaxed structure of ErRh4Pb (PBE, Alexandria via LeMat-Bulk).

Structure (POSCAR):
```
ErRh4Pb
1.0
0.000 3.759 3.759
3.759 0.000 3.759
3.759 3.759 0.000
Er Rh Pb
1 4 1
Direct
0.000 0.000 0.000
0.126 0.625 0.625
0.625 0.126 0.625
0.625 0.625 0.126
0.625 0.625 0.625
0.250 0.250 0.250
```

Summary:
**Total energy**: -6.676 eV/atom
**Space-group type**: F-43m
**Fermi-level density of states**: 5.32 states/eV/cell



(3)
# Er2Rh4Pb

A relaxed structure of Er2Rh4Pb (PBE, Alexandria via LeMat-Bulk).

Structure (POSCAR):
```
Er2Rh4Pb
1.0
2.299 1.327 7.593
-2.299 1.327 7.593
0.000 -2.654 7.593
Er Rh Pb
2 4 1
Direct
0.243 0.243 0.243
0.757 0.757 0.757
0.123 0.123 0.123
0.374 0.374 0.374
0.626 0.626 0.626
0.877 0.877 0.877
0.000 0.000 0.000
```

Summary:
**Total energy**: -6.408 eV/atom
**Space-group type**: R-3m
**Fermi-level density of states**: 1.91 states/eV/cell



(4)
# ErRhPb

A relaxed structure of ErRhPb (PBE, Alexandria via LeMat-Bulk).

Structure (POSCAR):
```
ErRhPb
1.0
-1.693 1.693 5.827
1.693 -1.693 5.827
1.693 1.693 -5.827
Er Rh Pb
1 1 1
Direct
0.000 0.000 0.000
0.362 0.362 0.000
0.710 0.710 0.000
```

Summary:
**Total energy**: -5.675 eV/atom
**Space-group type**: I4mm
**Fermi-level density of states**: 1.55 states/eV/cell



(5)
# Er2Rh3Pb

A relaxed structure of Er2Rh3Pb (PBE, Alexandria via LeMat-Bulk).

Structure (POSCAR):
```
Er2Rh3Pb
1.0
4.778 0.000 0.000
-2.389 4.138 0.000
0.000 0.000 5.792
Er Rh Pb
2 3 1
Direct
0.333 0.667 0.181
0.667 0.333 0.819
0.000 0.000 0.000
0.333 0.667 0.688
0.667 0.333 0.312
0.000 0.000 0.500
```

Summary:
**Space-group type**: P-3m1
**Relative energy among the computed polymorphs**: 0 meV/atom
**Fermi-level density of states**: 4.84 states/eV/cell



(6)
# Er2Rh4Pb3

A relaxed structure of Er2Rh4Pb3 (PBE, Alexandria via LeMat-Bulk).

Structure (POSCAR):
```
Er2Rh4Pb3
1.0
3.047 -8.772 0.000
3.047 8.772 0.000
0.000 0.000 7.066
Er Rh Pb
4 8 6
Direct
0.097 0.903 0.912
0.403 0.597 0.412
0.597 0.403 0.588
0.903 0.097 0.088
0.157 0.843 0.546
0.173 0.327 0.750
0.327 0.173 0.250
0.343 0.657 0.046
0.657 0.343 0.954
0.673 0.827 0.750
0.827 0.673 0.250
0.843 0.157 0.454
0.000 0.000 0.500
0.015 0.485 0.750
0.485 0.015 0.250
0.500 0.500 0.000
0.515 0.985 0.750
0.985 0.515 0.250
```

Summary:
**Total energy**: -5.942 eV/atom
**Space-group type**: Cmce
**Fermi-level density of states**: 10.16 states/eV/cell



(7)
# Er2Rh3Pb

A relaxed structure of Er2Rh3Pb (PBE, Alexandria via LeMat-Bulk).

Structure (POSCAR):
```
Er2Rh3Pb
1.0
4.771 0.000 0.000
-2.386 4.132 0.000
0.000 0.000 11.624
Er Rh Pb
4 6 2
Direct
0.000 0.000 0.000
0.000 0.000 0.500
0.333 0.667 0.174
0.667 0.333 0.826
0.000 0.000 0.247
0.000 0.000 0.753
0.333 0.667 0.421
0.333 0.667 0.918
0.667 0.333 0.082
0.667 0.333 0.579
0.333 0.667 0.667
0.667 0.333 0.333
```

Summary:
**Space-group type**: P-3m1
**Relative energy among the computed polymorphs**: 9 meV/atom
**Fermi-level density of states**: 10.28 states/eV/cell



(8)
# ErRhPb2

A relaxed structure of ErRhPb2 (PBE, Alexandria via LeMat-Bulk).

Structure (POSCAR):
```
ErRhPb2
1.0
1.722 0.994 10.319
-1.722 0.994 10.319
0.000 -1.988 10.319
Er Rh Pb
1 1 2
Direct
0.000 0.000 0.000
0.500 0.500 0.500
0.102 0.102 0.102
0.898 0.898 0.898
```

Summary:
**Total energy**: -4.728 eV/atom
**Space-group type**: R-3m
**Fermi-level density of states**: 4.81 states/eV/cell



(9)
# ErRh2Pb2

A relaxed structure of ErRh2Pb2 (PBE, Alexandria via LeMat-Bulk).

Structure (POSCAR):
```
ErRh2Pb2
1.0
4.575 0.000 0.000
0.000 4.710 0.000
0.000 0.000 10.301
Er Rh Pb
2 4 4
Direct
0.250 0.250 0.172
0.750 0.750 0.828
0.250 0.750 0.001
0.250 0.750 0.325
0.750 0.250 0.675
0.750 0.250 0.999
0.250 0.250 0.494
0.250 0.250 0.828
0.750 0.750 0.172
0.750 0.750 0.506
```

Summary:
**Total energy**: -5.784 eV/atom
**Space-group type**: Pmmn
**Fermi-level density of states**: 4.23 states/eV/cell



(10)
# Er12Rh6Pb

A relaxed structure of Er12Rh6Pb (PBE, Alexandria via LeMat-Bulk).

Structure (POSCAR):
```
Er12Rh6Pb
1.0
-4.909 4.909 4.909
4.909 -4.909 4.909
4.909 4.909 -4.909
Er Rh Pb
12 6 1
Direct
0.109 0.301 0.809
0.191 0.492 0.301
0.191 0.891 0.699
0.301 0.191 0.492
0.301 0.809 0.109
0.492 0.301 0.191
0.508 0.699 0.809
0.699 0.191 0.891
0.699 0.809 0.508
0.809 0.109 0.301
0.809 0.508 0.699
0.891 0.699 0.191
0.130 0.500 0.630
0.370 0.870 0.500
0.500 0.370 0.870
0.500 0.630 0.130
0.630 0.130 0.500
0.870 0.500 0.370
0.000 0.000 0.000
```

Summary:
**Total energy**: -6.040 eV/atom
**Space-group type**: Im-3
**Fermi-level density of states**: 13.29 states/eV/cell



(11)
# Er8Rh3Pb2

A relaxed structure of Er8Rh3Pb2 (PBE, Alexandria via LeMat-Bulk).

Structure (POSCAR):
```
Er8Rh3Pb2
1.0
4.871 -7.498 0.000
4.871 7.498 0.000
0.000 0.000 4.835
Er Rh Pb
8 3 2
Direct
0.108 0.892 0.000
0.144 0.364 0.500
0.364 0.144 0.500
0.388 0.612 0.000
0.612 0.388 0.000
0.636 0.856 0.500
0.856 0.636 0.500
0.892 0.108 0.000
0.252 0.252 0.000
0.500 0.500 0.500
0.748 0.748 0.000
0.244 0.756 0.500
0.756 0.244 0.500
```

Summary:
**Total energy**: -5.629 eV/atom
**Space-group type**: Cmmm
**Fermi-level density of states**: 7.44 states/eV/cell



(12)
# Er5RhPb2

A relaxed structure of Er5RhPb2 (PBE, Alexandria via LeMat-Bulk).

Structure (POSCAR):
```
Er5RhPb2
1.0
7.969 0.000 0.000
0.000 12.139 0.000
0.000 0.000 4.530
Er Rh Pb
10 2 4
Direct
0.000 0.000 0.000
0.142 0.300 0.000
0.184 0.568 0.500
0.316 0.068 0.500
0.358 0.800 0.000
0.500 0.500 0.000
0.642 0.200 0.000
0.684 0.932 0.500
0.816 0.432 0.500
0.858 0.700 0.000
0.000 0.500 0.000
0.500 0.000 0.000
0.071 0.827 0.500
0.429 0.327 0.500
0.571 0.673 0.500
0.929 0.173 0.500
```

Summary:
**Space-group type**: Pbam
**Relative energy among the computed polymorphs**: 0 meV/atom
**Fermi-level density of states**: 13.54 states/eV/cell